Entry 1:
# MgTaN2

A geometry-optimized MgTaN2 structure (GGA-PBEsol, Alexandria via LeMat-Bulk).

## Properties
Formation energy (no corrections) ... -4.96 eV/f.u.
DOS at the Fermi energy ... 0.871 states/eV per cell
Magnetic moment ... 0.000 μB/f.u.

The structure in CIF format:
```
data_MgTaN2
_chemical_formula_sum 'Mg1 Ta1 N2'
_cell_length_a 3.074
_cell_length_b 3.074
_cell_length_c 4.262
_cell_angle_alpha 90.00
_cell_angle_beta 90.00
_cell_angle_gamma 90.00
_space_group_name_H-M_alt 'P 4/m m m'
_space_group_IT_number 123
_space_group_name_Hall '-P 4 2'
loop_
_atom_site_label
_atom_site_type_symbol
_atom_site_fract_x
_atom_site_fract_y
_atom_site_fract_z
Mg1 Mg 0.000 0.000 0.000
Ta1 Ta 0.500 0.500 0.500
N1 N 0.000 0.000 0.500
N2 N 0.500 0.500 0.000
```

Entry 2:
# Mg2TaN

A geometry-optimized Mg2TaN structure (GGA-PBEsol, Alexandria via LeMat-Bulk).

## Properties
Formation energy (no corrections) ... 0.59 eV/f.u.
DOS at the Fermi energy ... 11.465 states/eV per cell
Magnetic moment ... 0.001 μB/f.u.

The structure in CIF format:
```
data_Mg2TaN
_chemical_formula_sum 'Mg8 Ta4 N4'
_cell_length_a 7.801
_cell_length_b 7.801
_cell_length_c 4.179
_cell_angle_alpha 90.00
_cell_angle_beta 90.00
_cell_angle_gamma 90.00
_space_group_name_H-M_alt 'I -4 2 d'
_space_group_IT_number 122
_space_group_name_Hall 'I -4 2bw'
loop_
_atom_site_label
_atom_site_type_symbol
_atom_site_fract_x
_atom_site_fract_y
_atom_site_fract_z
Mg1 Mg 0.136 0.250 0.125
Ta1 Ta 0.000 0.000 0.500
N1 N 0.000 0.000 0.000
```

Entry 3:
# MgTaN2

A geometry-optimized MgTaN2 structure (GGA-PBEsol, Alexandria via LeMat-Bulk).

## Properties
Formation energy (no corrections) ... -5.04 eV/f.u.
DOS at the Fermi energy ... 3.397 states/eV per cell
Magnetic moment ... 0.000 μB/f.u.

The structure in CIF format:
```
data_MgTaN2
_chemical_formula_sum 'Mg4 Ta4 N8'
_cell_length_a 4.281
_cell_length_b 4.281
_cell_length_c 8.815
_cell_angle_alpha 90.00
_cell_angle_beta 90.00
_cell_angle_gamma 90.00
_space_group_name_H-M_alt 'I 41/a m d'
_space_group_IT_number 141
loop_
_space_group_symop_operation_xyz
'x,y,z'
'-x,-y,-z'
'-y+1/4,x+3/4,z+1/4'
'y+1/4,-x+3/4,-z+1/4'
'-x+1/2,-y,z+1/2'
'x+1/2,y,-z+1/2'
'y+1/4,-x+1/4,z+3/4'
'-y+1/4,x+1/4,-z+3/4'
'x,-y,-z'
'-x,y,z'
'-y+1/4,-x+1/4,-z+3/4'
'y+1/4,x+1/4,z+3/4'
'-x+1/2,y,-z+1/2'
'x+1/2,-y,z+1/2'
'y+1/4,x+3/4,-z+1/4'
'-y+1/4,-x+3/4,z+1/4'
'x+1/2,y+1/2,z+1/2'
'-x+1/2,-y+1/2,-z+1/2'
'-y+3/4,x+1/4,z+3/4'
'y+3/4,-x+1/4,-z+3/4'
'-x,-y+1/2,z'
'x,y+1/2,-z'
'y+3/4,-x+3/4,z+1/4'
'-y+3/4,x+3/4,-z+1/4'
'x+1/2,-y+1/2,-z+1/2'
'-x+1/2,y+1/2,z+1/2'
'-y+3/4,-x+3/4,-z+1/4'
'y+3/4,x+3/4,z+1/4'
'-x,y+1/2,-z'
'x,-y+1/2,z'
'y+3/4,x+1/4,-z+3/4'
'-y+3/4,-x+1/4,z+3/4'
loop_
_atom_site_label
_atom_site_type_symbol
_atom_site_fract_x
_atom_site_fract_y
_atom_site_fract_z
Mg1 Mg 0.000 0.250 0.375
Ta1 Ta 0.000 0.250 0.875
N1 N 0.000 0.250 0.126
```

Entry 4:
# Mg2Ta3N5

A geometry-optimized Mg2Ta3N5 structure (GGA-PBEsol, Alexandria via LeMat-Bulk).

## Properties
Formation energy (no corrections) ... -12.62 eV/f.u.
DOS at the Fermi energy ... 7.057 states/eV per cell
Magnetic moment ... 0.000 μB/f.u.

The structure in CIF format:
```
data_Mg2Ta3N5
_chemical_formula_sum 'Mg8 Ta12 N20'
_cell_length_a 5.314
_cell_length_b 15.348
_cell_length_c 5.267
_cell_angle_alpha 90.00
_cell_angle_beta 108.98
_cell_angle_gamma 90.00
_space_group_name_H-M_alt 'C 1 2/c 1'
_space_group_IT_number 15
_space_group_name_Hall '-C 2yc'
loop_
_atom_site_label
_atom_site_type_symbol
_atom_site_fract_x
_atom_site_fract_y
_atom_site_fract_z
Mg1 Mg 0.000 0.051 0.250
Mg2 Mg 0.000 0.248 0.250
Ta1 Ta 0.000 0.147 0.750
Ta2 Ta 0.000 0.351 0.750
Ta3 Ta 0.000 0.455 0.250
N1 N 0.238 0.050 0.000
N2 N 0.244 0.350 0.499
N3 N 0.250 0.250 0.000
```

Entry 5:
# MgTaTe2N

A geometry-optimized MgTaTe2N structure (GGA-PBEsol, Alexandria via LeMat-Bulk).

## Properties
Formation energy (no corrections) ... 5.13 eV/f.u.
DOS at the Fermi energy ... 4.059 states/eV per cell
Magnetic moment ... 0.780 μB/f.u.

The structure in CIF format:
```
data_MgTaTe2N
_chemical_formula_sum 'Mg1 Ta1 Te2 N1'
_cell_length_a 5.309
_cell_length_b 5.309
_cell_length_c 3.710
_cell_angle_alpha 90.00
_cell_angle_beta 90.00
_cell_angle_gamma 90.00
_space_group_name_H-M_alt 'P 4/m m m'
_space_group_IT_number 123
_space_group_name_Hall '-P 4 2'
loop_
_atom_site_label
_atom_site_type_symbol
_atom_site_fract_x
_atom_site_fract_y
_atom_site_fract_z
Mg1 Mg 0.000 0.000 0.000
Ta1 Ta 0.500 0.500 0.500
Te1 Te 0.000 0.500 0.000
N1 N 0.000 0.000 0.500
```

Entry 6:
# MgTcN2

A geometry-optimized MgTcN2 structure (GGA-PBEsol, Alexandria via LeMat-Bulk).

## Properties
Formation energy (no corrections) ... 0.06 eV/f.u.
DOS at the Fermi energy ... 6.756 states/eV per cell
Magnetic moment ... 0.000 μB/f.u.

The structure in CIF format:
```
data_MgTcN2
_chemical_formula_sum 'Mg3 Tc3 N6'
_cell_length_a 2.9220
_cell_length_b 2.9220
_cell_length_c 19.1784
_cell_angle_alpha 90.00
_cell_angle_beta 90.00
_cell_angle_gamma 120.00
_space_group_name_H-M_alt 'R -3 m'
_space_group_IT_number 166
_space_group_name_Hall '-R 3 2"'
loop_
_atom_site_label
_atom_site_type_symbol
_atom_site_fract_x
_atom_site_fract_y
_atom_site_fract_z
Mg1 Mg 0.0000 0.0000 0.0000
Tc1 Tc 0.0000 0.0000 0.5000
N1 N 0.0000 0.0000 0.1056
```

Entry 7:
# MgTc3N

A geometry-optimized MgTc3N structure (GGA-PBEsol, Alexandria via LeMat-Bulk).

## Properties
Formation energy (no corrections) ... 17.19 eV/f.u.
DOS at the Fermi energy ... 7.554 states/eV per cell
Magnetic moment ... 0.044 μB/f.u.

The structure in CIF format:
```
data_MgTc3N
_chemical_formula_sum 'Mg1 Tc3 N1'
_cell_length_a 4.388
_cell_length_b 4.388
_cell_length_c 4.388
_cell_angle_alpha 90.00
_cell_angle_beta 90.00
_cell_angle_gamma 90.00
_space_group_name_H-M_alt 'P m -3 m'
_space_group_IT_number 221
_space_group_name_Hall '-P 4 2 3'
loop_
_atom_site_label
_atom_site_type_symbol
_atom_site_fract_x
_atom_site_fract_y
_atom_site_fract_z
Mg1 Mg 0.000 0.000 0.000
Tc1 Tc 0.000 0.000 0.500
N1 N 0.500 0.500 0.500
```

Entry 8:
# Mg2TeN

A geometry-optimized Mg2TeN structure (GGA-PBEsol, Alexandria via LeMat-Bulk).

## Properties
Formation energy (no corrections) ... 1.52 eV/f.u.
DOS at the Fermi energy ... 9.163 states/eV per cell
Magnetic moment ... 0.880 μB/f.u.

The structure in CIF format:
```
data_Mg2TeN
_chemical_formula_sum 'Mg8 Te4 N4'
_cell_length_a 6.573
_cell_length_b 6.573
_cell_length_c 6.573
_cell_angle_alpha 90.00
_cell_angle_beta 90.00
_cell_angle_gamma 90.00
_space_group_name_H-M_alt 'F m -3 m'
_space_group_IT_number 225
_space_group_name_Hall '-F 4 2 3'
loop_
_atom_site_label
_atom_site_type_symbol
_atom_site_fract_x
_atom_site_fract_y
_atom_site_fract_z
Mg1 Mg 0.250 0.250 0.250
Te1 Te 0.000 0.000 0.000
N1 N 0.000 0.000 0.500
```